# 1
DFT (GGA-PBE) results for a geometry-optimized ZrCd2As structure.

```
ZrCd2As
1.0
-4.0698 4.0698 2.7235
4.0698 -4.0698 2.7235
4.0698 4.0698 -2.7235
Zr Cd As
2 4 2
direct
0.0000 0.0000 0.0000 Zr
0.7500 0.2500 0.5000 Zr
0.1572 0.6250 0.0322 Cd
0.3750 0.4072 0.5322 Cd
0.5928 0.1250 0.9678 Cd
0.8750 0.8428 0.4678 Cd
0.2500 0.7500 0.5000 As
0.5000 0.5000 0.0000 As
```

## Properties
space group: I-42d (122)
calculated formation energy: -0.0796 eV/atom
DOS(E_F): 2.769 states/eV/f.u.
uncorrected energy: -3.837 eV per atom

# 2
DFT (GGA-PBE) results for a geometry-optimized NbCoSnOs structure.

```
NbCoSnOs
1.0
0.0000 3.1744 3.1744
3.1744 0.0000 3.1744
3.1744 3.1744 0.0000
Nb Co Sn Os
1 1 1 1
direct
0.0000 0.0000 0.0000 Nb
0.7500 0.7500 0.7500 Co
0.5000 0.5000 0.5000 Sn
0.2500 0.2500 0.2500 Os
```

## Properties
space group: F-43m (216)
calculated formation energy: -0.0513 eV/atom
DOS(E_F): 1.202 states/eV/f.u.
uncorrected energy: -8.153 eV per atom

# 3
DFT (GGA-PBE) results for a geometry-optimized CdIn2Tc structure.

```
CdIn2Tc
1.0
4.4497 0.0000 0.0000
0.0000 4.4497 0.0000
0.0000 0.0000 3.9619
Cd In Tc
1 2 1
direct
0.0000 0.0000 0.0000 Cd
0.0000 0.5000 0.5000 In
0.5000 0.0000 0.5000 In
0.5000 0.5000 0.0000 Tc
```

## Properties
space group: P4/mmm (123)
calculated formation energy: 0.3491 eV/atom
DOS(E_F): 2.894 states/eV/f.u.
uncorrected energy: -3.840 eV per atom

# 4
DFT (GGA-PBE) results for a geometry-optimized Cr2NiSe structure.

```
Cr2NiSe
1.0
1.4458 0.8347 7.3891
-1.4458 0.8347 7.3891
0.0000 -1.6695 7.3891
Cr Ni Se
2 1 1
direct
0.0000 0.0000 0.0000 Cr
0.2616 0.2616 0.2616 Cr
0.7508 0.7508 0.7508 Ni
0.5071 0.5071 0.5071 Se
```

## Properties
space group: R3m (160)
DOS(E_F): 4.278 states/eV/f.u.
uncorrected energy: -6.814 eV per atom

# 5
DFT (GGA-PBE) results for a geometry-optimized YIn2Ga structure.

```
YIn2Ga
1.0
4.4712 0.0000 0.0000
0.0000 4.4712 0.0000
0.0000 0.0000 4.6795
Y In Ga
1 2 1
direct
0.0000 0.0000 0.0000 Y
0.0000 0.5000 0.5000 In
0.5000 0.0000 0.5000 In
0.5000 0.5000 0.0000 Ga
```

## Properties
space group: P4/mmm (123)
calculated formation energy: -0.4428 eV/atom
DOS(E_F): 1.694 states/eV/f.u.
uncorrected energy: -4.185 eV per atom

# 6
DFT (GGA-PBE) results for a geometry-optimized Tb4Er2In structure.

```
Tb4Er2In
1.0
0.0000 10.9003 3.9433
5.0659 0.0000 3.9433
5.0659 10.9003 0.0000
Tb Er In
8 4 2
direct
0.0677 0.9323 0.0946 Tb
0.1554 0.3446 0.1823 Tb
0.2672 0.5729 0.5013 Tb
0.3446 0.1554 0.3177 Tb
0.5729 0.2672 0.6586 Tb
0.5914 0.7487 0.6771 Tb
0.7487 0.5914 0.9828 Tb
0.9323 0.0677 0.9054 Tb
0.1250 0.5306 0.8988 Er
0.3512 0.8044 0.1250 Er
0.5306 0.1250 0.4456 Er
0.8044 0.3512 0.7194 Er
0.6551 0.6551 0.3449 In
0.9051 0.9051 0.5949 In
```

## Properties
space group: Fdd2 (43)
calculated formation energy: -0.0374 eV/atom
polymorph energy (0 for the lowest one): 41.7 meV per atom
DOS(E_F): 9.725 states/eV/f.u.
uncorrected energy: -4.378 eV per atom

# 7
DFT (GGA-PBE) results for a geometry-optimized Be2ReBr structure.

```
Be2ReBr
1.0
4.2512 0.0000 0.0000
0.0000 4.2512 0.0000
0.0000 0.0000 2.9138
Be Re Br
2 1 1
direct
0.0000 0.5000 0.0000 Be
0.5000 0.0000 0.0000 Be
0.0000 0.0000 0.5000 Re
0.5000 0.5000 0.5000 Br
```

## Properties
space group: P4/mmm (123)
polymorph energy (0 for the lowest one): 408.1 meV per atom
DOS(E_F): 1.580 states/eV/f.u.
uncorrected energy: -4.603 eV per atom

# 8
DFT (GGA-PBE) results for a geometry-optimized CsSe2I structure.

```
CsSe2I
1.0
0.0000 4.0429 4.0429
4.0429 0.0000 4.0429
4.0429 4.0429 0.0000
Cs Se I
1 2 1
direct
0.0000 0.0000 0.0000 Cs
0.2500 0.2500 0.2500 Se
0.7500 0.7500 0.7500 Se
0.5000 0.5000 0.5000 I
```

## Properties
space group: Fm-3m (225)
polymorph energy (0 for the lowest one): 417.5 meV per atom
DOS(E_F): 2.426 states/eV/f.u.
uncorrected energy: -2.150 eV per atom

# 9
DFT (GGA-PBE) results for a geometry-optimized Y2Sn2Pd structure.

```
Y2Sn2Pd
1.0
5.5397 -2.2751 0.0000
5.5397 2.2751 0.0000
-4.8219 0.0000 9.7730
Y Sn Pd
4 4 2
direct
0.0066 0.0066 0.3311 Y
0.1810 0.1810 0.1119 Y
0.8190 0.8190 0.8881 Y
0.9934 0.9934 0.6689 Y
0.3501 0.3501 0.4359 Sn
0.4656 0.4656 0.1173 Sn
0.5344 0.5344 0.8827 Sn
0.6499 0.6499 0.5641 Sn
0.2853 0.2853 0.6632 Pd
0.7147 0.7147 0.3368 Pd
```

## Properties
space group: C2/m (12)
calculated formation energy: -0.8483 eV/atom
polymorph energy (0 for the lowest one): 0.0 meV per atom
DOS(E_F): 3.476 states/eV/f.u.
uncorrected energy: -6.074 eV per atom

# 10
DFT (GGA-PBE) results for a geometry-optimized TaAlPb structure.

```
TaAlPb
1.0
4.9428 0.0000 0.0000
-2.4714 4.2806 0.0000
0.0000 0.0000 2.8827
Ta Al Pb
1 1 1
direct
0.0000 0.0000 0.0000 Ta
0.6667 0.3333 0.4438 Al
0.3333 0.6667 0.5607 Pb
```

## Properties
space group: P3m1 (156)
calculated formation energy: 0.5483 eV/atom
polymorph energy (0 for the lowest one): 250.7 meV per atom
DOS(E_F): 2.533 states/eV/f.u.
uncorrected energy: -5.886 eV per atom

# 11
DFT (GGA-PBE) results for a geometry-optimized DyZnF5 structure.

```
DyZnF5
1.0
4.5236 -3.3786 0.0000
4.5236 3.3786 0.0000
-3.1283 0.0000 6.9106
Dy Zn F
2 2 10
direct
0.0536 0.9464 0.7500 Dy
0.9464 0.0536 0.2500 Dy
0.5000 0.5000 0.0000 Zn
0.5000 0.5000 0.5000 Zn
0.1741 0.8053 0.0356 F
0.1947 0.8259 0.4644 F
0.2332 0.2867 0.3748 F
0.2867 0.2332 0.8748 F
0.3877 0.6123 0.7500 F
0.6123 0.3877 0.2500 F
0.7133 0.7668 0.1252 F
0.7668 0.7133 0.6252 F
0.8053 0.1741 0.5356 F
0.8259 0.1947 0.9644 F
```

## Properties
space group: C2/c (15)
DOS(E_F): 0.000 states/eV/f.u.
uncorrected energy: -5.516 eV per atom

# 12
DFT (GGA-PBE) results for a geometry-optimized Pr4TmTl structure.

```
Pr4TmTl
1.0
4.5209 -7.2453 0.0000
4.5209 7.2453 0.0000
-2.2462 0.0000 6.2331
Pr Tm Tl
8 2 2
direct
0.0930 0.7120 0.9531 Pr
0.1727 0.4051 0.6232 Pr
0.2880 0.9070 0.5469 Pr
0.4051 0.1727 0.1232 Pr
0.5949 0.8273 0.8768 Pr
0.7120 0.0930 0.4531 Pr
0.8273 0.5949 0.3768 Pr
0.9070 0.2880 0.0469 Pr
0.4095 0.5905 0.2500 Tm
0.5905 0.4095 0.7500 Tm
0.0012 0.9988 0.2500 Tl
0.9988 0.0012 0.7500 Tl
```

## Properties
space group: C2/c (15)
calculated formation energy: -0.0208 eV/atom
polymorph energy (0 for the lowest one): 38.4 meV per atom
DOS(E_F): 7.923 states/eV/f.u.
uncorrected energy: -4.347 eV per atom

# 13
DFT (GGA-PBE) results for a geometry-optimized ErTmSe3 structure.

```
ErTmSe3
1.0
3.5578 2.0541 6.4339
-3.5578 2.0541 6.4339
0.0000 -4.1082 6.4339
Er Tm Se
2 2 6
direct
0.1526 0.1526 0.1526 Er
0.8474 0.8474 0.8474 Er
0.3469 0.3469 0.3469 Tm
0.6531 0.6531 0.6531 Tm
0.0567 0.7486 0.4438 Se
0.2514 0.5562 0.9433 Se
0.4438 0.0567 0.7486 Se
0.5562 0.9433 0.2514 Se
0.7486 0.4438 0.0567 Se
0.9433 0.2514 0.5562 Se
```

## Properties
space group: R-3 (148)
polymorph energy (0 for the lowest one): 0.0 meV per atom
DOS(E_F): 0.000 states/eV/f.u.
uncorrected energy: -5.739 eV per atom

# 14
DFT (GGA-PBE) results for a geometry-optimized Na2In4Ag3 structure.

```
Na2In4Ag3
1.0
0.0000 4.9316 7.2579
2.9603 0.0000 7.2579
2.9603 4.9316 0.0000
Na In Ag
2 4 3
direct
0.1188 0.1188 0.8812 Na
0.8812 0.8812 0.1188 Na
0.1705 0.4939 0.5061 In
0.4939 0.1705 0.8295 In
0.5061 0.8295 0.1705 In
0.8295 0.5061 0.4939 In
0.0000 0.0000 0.5000 Ag
0.5000 0.5000 0.0000 Ag
0.5000 0.5000 0.5000 Ag
```

## Properties
space group: Fmmm (69)
calculated formation energy: -0.1022 eV/atom
polymorph energy (0 for the lowest one): 0.0 meV per atom
DOS(E_F): 2.805 states/eV/f.u.
uncorrected energy: -2.563 eV per atom

# 15
DFT (GGA-PBE) results for a geometry-optimized Lu3H12Rh5 structure.

```
Lu3H12Rh5
1.0
-5.6966 5.6966 5.6966
5.6966 -5.6966 5.6966
5.6966 5.6966 -5.6966
Lu H Rh
12 48 20
direct
0.1250 0.2500 0.3750 Lu
0.1250 0.3750 0.7500 Lu
0.2500 0.3750 0.1250 Lu
0.2500 0.8750 0.6250 Lu
0.3750 0.1250 0.2500 Lu
0.3750 0.7500 0.1250 Lu
0.6250 0.2500 0.8750 Lu
0.6250 0.8750 0.7500 Lu
0.7500 0.1250 0.3750 Lu
0.7500 0.6250 0.8750 Lu
0.8750 0.6250 0.2500 Lu
0.8750 0.7500 0.6250 Lu
0.0262 0.1987 0.1116 H
0.0262 0.3275 0.9147 H
0.0853 0.6116 0.4129 H
0.0853 0.9738 0.6725 H
0.0871 0.6987 0.6725 H
0.0871 0.8884 0.4147 H
0.1116 0.0262 0.1987 H
0.1116 0.5853 0.9129 H
0.1725 0.1987 0.5871 H
0.1725 0.4738 0.5853 H
0.1987 0.1116 0.0262 H
0.1987 0.5871 0.1725 H
0.3013 0.3275 0.9129 H
0.3013 0.4738 0.3884 H
0.3275 0.9129 0.3013 H
0.3275 0.9147 0.0262 H
0.3884 0.3013 0.4738 H
0.3884 0.5871 0.9147 H
0.4129 0.0853 0.6116 H
0.4129 0.8275 0.8013 H
0.4147 0.0871 0.8884 H
0.4147 0.8275 0.5262 H
0.4738 0.3884 0.3013 H
0.4738 0.5853 0.1725 H
0.5262 0.4147 0.8275 H
0.5262 0.6116 0.6987 H
0.5853 0.1725 0.4738 H
0.5853 0.9129 0.1116 H
0.5871 0.1725 0.1987 H
0.5871 0.9147 0.3884 H
0.6116 0.4129 0.0853 H
0.6116 0.6987 0.5262 H
0.6725 0.0853 0.9738 H
0.6725 0.0871 0.6987 H
0.6987 0.5262 0.6116 H
0.6987 0.6725 0.0871 H
0.8013 0.4129 0.8275 H
0.8013 0.8884 0.9738 H
0.8275 0.5262 0.4147 H
0.8275 0.8013 0.4129 H
0.8884 0.4147 0.0871 H
0.8884 0.9738 0.8013 H
0.9129 0.1116 0.5853 H
0.9129 0.3013 0.3275 H
0.9147 0.0262 0.3275 H
0.9147 0.3884 0.5871 H
0.9738 0.6725 0.0853 H
0.9738 0.8013 0.8884 H
0.0000 0.0000 0.0000 Rh
0.0000 0.0000 0.5000 Rh
0.0000 0.5000 0.0000 Rh
0.0000 0.5000 0.5000 Rh
0.1250 0.7500 0.8750 Rh
0.1250 0.8750 0.2500 Rh
0.2500 0.1250 0.8750 Rh
0.2500 0.6250 0.3750 Rh
0.3750 0.2500 0.6250 Rh
0.3750 0.6250 0.7500 Rh
0.5000 0.0000 0.0000 Rh
0.5000 0.0000 0.5000 Rh
0.5000 0.5000 0.0000 Rh
0.5000 0.5000 0.5000 Rh
0.6250 0.3750 0.2500 Rh
0.6250 0.7500 0.3750 Rh
0.7500 0.3750 0.6250 Rh
0.7500 0.8750 0.1250 Rh
0.8750 0.1250 0.7500 Rh
0.8750 0.2500 0.1250 Rh
```

## Properties
space group: Ia-3d (230)
DOS(E_F): 3.865 states/eV/f.u.
uncorrected energy: -4.916 eV per atom

# 16
DFT (GGA-PBE) results for a geometry-optimized TlBiBr3 structure.

```
TlBiBr3
1.0
5.9036 0.0000 0.0000
0.0000 5.9036 0.0000
0.0000 0.0000 5.9036
Tl Bi Br
1 1 3
direct
0.0000 0.0000 0.0000 Tl
0.5000 0.5000 0.5000 Bi
0.0000 0.5000 0.5000 Br
0.5000 0.0000 0.5000 Br
0.5000 0.5000 0.0000 Br
```

## Properties
space group: Pm-3m (221)
polymorph energy (0 for the lowest one): 68.9 meV per atom
DOS(E_F): 2.181 states/eV/f.u.
uncorrected energy: -2.801 eV per atom

# 17
DFT (GGA-PBE) results for a geometry-optimized LiZr structure.

```
LiZr
1.0
0.0000 4.1515 5.1888
3.6533 0.0000 5.1888
3.6533 4.1515 0.0000
Li Zr
4 4
direct
0.0317 0.7183 0.7183 Li
0.2817 0.9683 0.9683 Li
0.7183 0.0317 0.0317 Li
0.9683 0.2817 0.2817 Li
0.1968 0.5532 0.1968 Zr
0.4468 0.8032 0.4468 Zr
0.5532 0.1968 0.5532 Zr
0.8032 0.4468 0.8032 Zr
```

## Properties
space group: Fddd (70)
calculated formation energy: 0.5199 eV/atom
polymorph energy (0 for the lowest one): 436.2 meV per atom
DOS(E_F): 2.807 states/eV/f.u.
uncorrected energy: -4.711 eV per atom

# 18
DFT (GGA-PBE) results for a geometry-optimized La2ZrRe structure.

```
La2ZrRe
1.0
1.7171 -2.7146 0.0000
1.7171 2.7146 0.0000
0.0000 0.0000 10.6269
La Zr Re
2 1 1
direct
0.0000 0.0000 0.2160 La
0.0000 0.0000 0.7840 La
0.5000 0.5000 0.5000 Zr
0.5000 0.5000 0.0000 Re
```

## Properties
space group: Cmmm (65)
calculated formation energy: 0.5062 eV/atom
polymorph energy (0 for the lowest one): 399.5 meV per atom
DOS(E_F): 6.370 states/eV/f.u.
uncorrected energy: -7.207 eV per atom

# 19
DFT (GGA-PBE) results for a geometry-optimized Zn3Fe structure.

```
Zn3Fe
1.0
0.0000 3.0097 3.0097
3.0097 0.0000 3.0097
3.0097 3.0097 0.0000
Zn Fe
3 1
direct
0.0000 0.0000 0.0000 Zn
0.2500 0.2500 0.2500 Zn
0.7500 0.7500 0.7500 Zn
0.5000 0.5000 0.5000 Fe
```

## Properties
space group: Fm-3m (225)
calculated formation energy: 0.1180 eV/atom
DOS(E_F): 4.043 states/eV/f.u.
uncorrected energy: -2.953 eV per atom

# 20
DFT (GGA-PBE) results for a geometry-optimized CeDyZr2 structure.

```
CeDyZr2
1.0
3.9003 0.0000 0.0000
0.0000 3.9003 0.0000
0.0000 0.0000 6.8972
Ce Dy Zr
1 1 2
direct
0.0000 0.0000 0.0000 Ce
0.0000 0.0000 0.5000 Dy
0.5000 0.5000 0.2164 Zr
0.5000 0.5000 0.7836 Zr
```

## Properties
space group: P4/mmm (123)
calculated formation energy: 0.1571 eV/atom
polymorph energy (0 for the lowest one): 39.6 meV per atom
DOS(E_F): 6.381 states/eV/f.u.
uncorrected energy: -6.751 eV per atom

# 21
DFT (GGA-PBE) results for a geometry-optimized Sr2AcIn2Hg2 structure.

```
Sr2AcIn2Hg2
1.0
2.5509 1.4728 10.4602
-2.5509 1.4728 10.4602
0.0000 -2.9455 10.4602
Sr Ac In Hg
2 1 2 2
direct
0.1250 0.1250 0.1250 Sr
0.8750 0.8750 0.8750 Sr
0.0000 0.0000 0.0000 Ac
0.2610 0.2610 0.2610 In
0.7390 0.7390 0.7390 In
0.3934 0.3934 0.3934 Hg
0.6066 0.6066 0.6066 Hg
```

## Properties
space group: R-3m (166)
calculated formation energy: -0.3952 eV/atom
DOS(E_F): 2.811 states/eV/f.u.
uncorrected energy: -2.331 eV per atom